No. 1
{
  "formula": "TbPrFe2Si4",
  "functional": "GGA-PBE",
  "state": "relaxed",
  "relative_energy_mev_per_atom": 0,
  "dft_energy_ev_per_atom": -6.657,
  "vol_a3_per_cell": 134.9,
  "lattice_angstrom": [[-0.028, 0.369, -4.299], [0.586, -3.944, -0.342], [-7.712, -1.304, 1.828]],
  "species": ["Si", "Tb", "Fe", "Pr", "Si", "Si", "Si", "Fe"],
  "frac_coords": [[0.543, 0.500, 0.595], [0.895, 0.500, 0.292], [0.619, 0.500, 0.893], [0.100, 0.000, 0.703], [0.455, 0.000, 0.399], [0.175, 0.500, 0.999], [0.828, 0.000, 0.008], [0.384, 0.000, 0.111]]
}



No. 2
{
  "formula": "KTmPO",
  "functional": "GGA-PBE",
  "state": "relaxed",
  "relative_energy_mev_per_atom": 546,
  "dft_energy_ev_per_atom": -4.984,
  "vol_a3_per_cell": 160.1,
  "lattice_angstrom": [[5.651, 0.000, 0.000], [0.000, 5.651, 0.000], [0.000, 0.000, 5.015]],
  "species": ["K", "O", "Tm", "P", "Tm", "K", "P", "O"],
  "frac_coords": [[0.500, 0.000, 0.998], [0.500, 0.500, 0.000], [0.500, 0.500, 0.500], [0.500, 0.000, 0.498], [0.000, 0.000, 0.500], [0.000, 0.500, 0.002], [0.000, 0.500, 0.502], [0.000, 0.000, 0.000]]
}



No. 3
{
  "formula": "TbZnAu",
  "functional": "GGA-PBE",
  "state": "relaxed",
  "dft_energy_ev_per_atom": -3.426,
  "e_form_ev_per_atom": -0.37,
  "vol_a3_per_cell": 68.1,
  "lattice_angstrom": [[0.000, 3.242, 3.242], [3.242, 0.000, 3.242], [3.242, 3.242, 0.000]],
  "species": ["Zn", "Tb", "Au"],
  "frac_coords": [[0.000, 0.000, 0.000], [0.750, 0.750, 0.750], [0.250, 0.250, 0.250]]
}



No. 4
{
  "formula": "LaNbNi",
  "functional": "GGA-PBE",
  "state": "relaxed",
  "dft_energy_ev_per_atom": -6.153,
  "e_form_ev_per_atom": 0.71,
  "vol_a3_per_cell": 64.7,
  "lattice_angstrom": [[-0.342, -1.870, 4.085], [-0.782, 2.588, 3.604], [-3.997, -0.171, 2.072]],
  "species": ["Nb", "La", "Ni"],
  "frac_coords": [[0.000, 0.000, 0.000], [0.250, 0.250, 0.250], [0.750, 0.750, 0.750]]
}



No. 5
{
  "formula": "CsLuIr",
  "functional": "GGA-PBE",
  "state": "relaxed",
  "relative_energy_mev_per_atom": 0,
  "dft_energy_ev_per_atom": -4.210,
  "vol_a3_per_cell": 88.8,
  "lattice_angstrom": [[-3.303, -1.642, 3.388], [-4.878, -0.145, -1.125], [-2.287, -4.406, -0.663]],
  "species": ["Cs", "Lu", "Ir"],
  "frac_coords": [[0.250, 0.250, 0.250], [0.750, 0.750, 0.750], [0.000, 0.000, 0.000]]
}



No. 6
{
  "formula": "TbTeNO",
  "functional": "GGA-PBE",
  "state": "relaxed",
  "relative_energy_mev_per_atom": 683,
  "dft_energy_ev_per_atom": -6.067,
  "vol_a3_per_cell": 123.3,
  "lattice_angstrom": [[-0.547, -5.005, 0.233], [5.000, -0.530, 0.356], [-0.317, 0.260, 4.836]],
  "species": ["O", "N", "N", "Te", "Tb", "O", "Te", "Tb"],
  "frac_coords": [[0.750, 0.250, 0.000], [0.750, 0.750, 0.406], [0.250, 0.250, 0.594], [0.750, 0.750, 0.982], [0.250, 0.750, 0.500], [0.250, 0.750, 0.000], [0.250, 0.250, 0.018], [0.750, 0.250, 0.500]]
}



No. 7
{
  "formula": "DyYTe2",
  "functional": "GGA-PBE",
  "state": "relaxed",
  "relative_energy_mev_per_atom": 0,
  "dft_energy_ev_per_atom": -5.652,
  "vol_a3_per_cell": 118.3,
  "lattice_angstrom": [[-3.737, 1.019, -1.747], [3.353, -0.816, -2.480], [-1.912, -7.318, -0.179]],
  "species": ["Te", "Dy", "Te", "Y"],
  "frac_coords": [[0.667, 0.333, 0.749], [0.000, 0.000, 0.500], [0.333, 0.667, 0.251], [0.000, 0.000, 0.000]]
}



No. 8
{
  "formula": "SrLaAuS3",
  "functional": "GGA-PBE",
  "state": "relaxed",
  "dft_energy_ev_per_atom": -5.279,
  "vol_a3_per_cell": 308.2,
  "lattice_angstrom": [[8.057, 0.000, 0.000], [0.000, 4.102, 0.000], [-2.117, 0.000, 9.327]],
  "species": ["La", "S", "S", "S", "S", "S", "Au", "S", "Au", "La", "Sr", "Sr"],
  "frac_coords": [[0.192, 0.250, 0.161], [0.775, 0.750, 0.529], [0.069, 0.250, 0.852], [0.555, 0.250, 0.839], [0.931, 0.750, 0.148], [0.445, 0.750, 0.161], [0.612, 0.250, 0.589], [0.225, 0.250, 0.471], [0.388, 0.750, 0.411], [0.808, 0.750, 0.839], [0.729, 0.250, 0.277], [0.271, 0.750, 0.723]]
}



No. 9
{
  "formula": "Ho2ErMg3CdGa2",
  "functional": "GGA-PBE",
  "state": "relaxed",
  "dft_energy_ev_per_atom": -3.242,
  "vol_a3_per_cell": 207.2,
  "lattice_angstrom": [[-3.084, 2.754, -1.632], [-0.748, 3.081, 6.611], [4.905, 2.678, -4.747]],
  "species": ["Ga", "Mg", "Mg", "Ho", "Ho", "Mg", "Cd", "Ga", "Er"],
  "frac_coords": [[0.500, 0.666, 0.333], [0.500, 0.000, 0.250], [0.500, 0.250, 0.000], [0.000, 0.568, 0.000], [0.000, 0.000, 0.568], [0.500, 0.750, 0.750], [0.000, 0.001, 0.001], [0.500, 0.333, 0.666], [0.000, 0.432, 0.432]]
}



No. 10
{
  "formula": "CdAg2GeTe2Se2",
  "functional": "GGA-PBE",
  "state": "relaxed",
  "relative_energy_mev_per_atom": 0,
  "dft_energy_ev_per_atom": -3.293,
  "vol_a3_per_cell": 241.4,
  "lattice_angstrom": [[6.933, -3.110, 0.000], [6.933, 3.110, 0.000], [-2.667, 0.000, 5.598]],
  "species": ["Te", "Te", "Se", "Ge", "Se", "Ag", "Cd", "Ag"],
  "frac_coords": [[0.856, 0.397, 0.357], [0.603, 0.144, 0.643], [0.385, 0.852, 0.887], [0.481, 0.519, 0.000], [0.148, 0.615, 0.113], [0.255, 0.246, 0.228], [0.016, 0.984, 0.500], [0.754, 0.745, 0.772]]
}



No. 11
{
  "formula": "NbCdFePb",
  "functional": "GGA-PBE",
  "state": "relaxed",
  "relative_energy_mev_per_atom": 0,
  "dft_energy_ev_per_atom": -5.134,
  "vol_a3_per_cell": 75.2,
  "lattice_angstrom": [[0.000, 3.351, 3.351], [3.351, 0.000, 3.351], [3.351, 3.351, 0.000]],
  "species": ["Cd", "Pb", "Fe", "Nb"],
  "frac_coords": [[0.500, 0.500, 0.500], [0.000, 0.000, 0.000], [0.750, 0.750, 0.750], [0.250, 0.250, 0.250]]
}



No. 12
{
  "formula": "LaPrAsBr2",
  "functional": "GGA-PBE",
  "state": "relaxed",
  "dft_energy_ev_per_atom": -5.307,
  "vol_a3_per_cell": 173.2,
  "lattice_angstrom": [[-3.620, 2.193, -0.673], [-0.099, -4.278, 0.234], [-1.620, 0.624, 10.748]],
  "species": ["Pr", "Br", "As", "Br", "La"],
  "frac_coords": [[0.667, 0.333, 0.846], [0.667, 0.333, 0.323], [0.000, 0.000, 0.998], [0.333, 0.667, 0.679], [0.333, 0.667, 0.153]]
}